--- one ---
Entry from OQMD: crystalline GdHfNO at its relaxed geometry (PBE).

CIF file:
```
data_GdHfNO
_space_group_name_H-M_alt 'P 1'
_space_group_IT_number 1
_cell_length_a 3.872
_cell_length_b 4.681
_cell_length_c 6.677
_cell_angle_alpha 90.00
_cell_angle_beta 90.00
_cell_angle_gamma 90.00
loop_
_space_group_symop_operation_xyz
'x,y,z'
loop_
_atom_site_label
_atom_site_fract_x
_atom_site_fract_y
_atom_site_fract_z
_atom_site_occupancy
Gd1 0.500 0.939 0.155 1
Gd2 0.500 0.439 0.845 1
Hf1 0.000 0.439 0.332 1
Hf2 0.000 0.939 0.668 1
N1 0.000 0.938 0.358 1
N2 0.000 0.438 0.642 1
O1 0.500 0.439 0.213 1
O2 0.500 0.939 0.787 1
```

--- two ---
Entry from OQMD: crystalline GdHfNO at its relaxed geometry (PBE).

CIF file:
```
data_GdHfNO
_space_group_name_H-M_alt 'P 1'
_space_group_IT_number 1
_cell_length_a 6.592
_cell_length_b 7.808
_cell_length_c 4.675
_cell_angle_alpha 90.00
_cell_angle_beta 90.00
_cell_angle_gamma 90.00
loop_
_space_group_symop_operation_xyz
'x,y,z'
loop_
_atom_site_label
_atom_site_fract_x
_atom_site_fract_y
_atom_site_fract_z
_atom_site_occupancy
Gd1 0.553 0.377 0.051 1
Gd2 0.053 0.623 0.051 1
Gd3 0.947 0.377 0.551 1
Gd4 0.447 0.623 0.551 1
Hf1 0.095 0.126 0.051 1
Hf2 0.595 0.874 0.051 1
Hf3 0.405 0.126 0.551 1
Hf4 0.905 0.874 0.551 1
N1 0.417 0.098 0.051 1
N2 0.917 0.902 0.051 1
N3 0.083 0.098 0.551 1
N4 0.583 0.902 0.551 1
O1 0.902 0.340 0.051 1
O2 0.402 0.660 0.051 1
O3 0.598 0.340 0.551 1
O4 0.098 0.660 0.551 1
```

--- three ---
Entry from OQMD: crystalline GdHfNO at its relaxed geometry (PBE).

CIF file:
```
data_GdHfNO
_space_group_name_H-M_alt 'P 1'
_space_group_IT_number 1
_cell_length_a 4.136
_cell_length_b 5.040
_cell_length_c 5.955
_cell_angle_alpha 90.00
_cell_angle_beta 90.00
_cell_angle_gamma 90.00
loop_
_space_group_symop_operation_xyz
'x,y,z'
loop_
_atom_site_label
_atom_site_fract_x
_atom_site_fract_y
_atom_site_fract_z
_atom_site_occupancy
Gd1 0.000 0.451 0.315 1
Gd2 0.000 0.951 0.685 1
Hf1 0.500 0.970 0.223 1
Hf2 0.500 0.470 0.777 1
N1 0.000 0.958 0.284 1
N2 0.000 0.458 0.716 1
O1 0.500 0.374 0.116 1
O2 0.500 0.874 0.884 1
```

Relative to the most stable one, in kJ/mol of atoms, the structures come out at one 4.5; two 0.0; three 8.6.

--- one ---
Entry from OQMD: crystalline GdHfPO at its relaxed geometry (PBE).

CIF file:
```
data_GdHfPO
_space_group_name_H-M_alt 'P 1'
_space_group_IT_number 1
_cell_length_a 4.100
_cell_length_b 4.100
_cell_length_c 8.035
_cell_angle_alpha 90.00
_cell_angle_beta 90.00
_cell_angle_gamma 90.00
loop_
_space_group_symop_operation_xyz
'x,y,z'
loop_
_atom_site_label
_atom_site_fract_x
_atom_site_fract_y
_atom_site_fract_z
_atom_site_occupancy
Gd1 0.750 0.250 0.500 1
Gd2 0.250 0.750 0.500 1
Hf1 0.250 0.250 0.106 1
Hf2 0.750 0.750 0.894 1
O1 0.750 0.250 0.000 1
O2 0.250 0.750 0.000 1
P1 0.750 0.750 0.260 1
P2 0.250 0.250 0.740 1
```

--- two ---
Entry from OQMD: crystalline GdHfPO at its relaxed geometry (PBE).

CIF file:
```
data_GdHfPO
_space_group_name_H-M_alt 'P 1'
_space_group_IT_number 1
_cell_length_a 4.022
_cell_length_b 7.318
_cell_length_c 5.110
_cell_angle_alpha 90.00
_cell_angle_beta 90.00
_cell_angle_gamma 90.00
loop_
_space_group_symop_operation_xyz
'x,y,z'
loop_
_atom_site_label
_atom_site_fract_x
_atom_site_fract_y
_atom_site_fract_z
_atom_site_occupancy
Gd1 0.000 0.140 0.439 1
Gd2 0.000 0.860 0.939 1
Hf1 0.500 0.733 0.439 1
Hf2 0.500 0.267 0.939 1
O1 0.000 0.819 0.439 1
O2 0.000 0.181 0.939 1
P1 0.500 0.383 0.438 1
P2 0.500 0.617 0.938 1
```

Relative to the most stable one, in kJ/mol of atoms, the structures come out at one 34.8; two 0.0.

--- one ---
Entry from OQMD: crystalline GdHfPO at its relaxed geometry (PBE).

CIF file:
```
data_GdHfPO
_space_group_name_H-M_alt 'P 1'
_space_group_IT_number 1
_cell_length_a 4.139
_cell_length_b 4.139
_cell_length_c 8.545
_cell_angle_alpha 90.00
_cell_angle_beta 90.00
_cell_angle_gamma 90.00
loop_
_space_group_symop_operation_xyz
'x,y,z'
loop_
_atom_site_label
_atom_site_fract_x
_atom_site_fract_y
_atom_site_fract_z
_atom_site_occupancy
Gd1 0.000 0.000 0.120 1
Gd2 0.500 0.500 0.880 1
Hf1 0.500 0.000 0.500 1
Hf2 0.000 0.500 0.500 1
O1 0.500 0.000 0.000 1
O2 0.000 0.500 0.000 1
P1 0.500 0.500 0.318 1
P2 0.000 0.000 0.682 1
```

--- two ---
Entry from OQMD: crystalline GdHfPO at its relaxed geometry (PBE).

CIF file:
```
data_GdHfPO
_space_group_name_H-M_alt 'P 1'
_space_group_IT_number 1
_cell_length_a 4.049
_cell_length_b 4.049
_cell_length_c 8.190
_cell_angle_alpha 90.00
_cell_angle_beta 90.00
_cell_angle_gamma 90.00
loop_
_space_group_symop_operation_xyz
'x,y,z'
loop_
_atom_site_label
_atom_site_fract_x
_atom_site_fract_y
_atom_site_fract_z
_atom_site_occupancy
Gd1 0.000 0.000 0.500 1
Gd2 0.500 0.500 0.500 1
Hf1 0.000 0.500 0.112 1
Hf2 0.500 0.000 0.888 1
O1 0.000 0.000 0.000 1
O2 0.500 0.500 0.000 1
P1 0.500 0.000 0.261 1
P2 0.000 0.500 0.739 1
```

Relative to the most stable one, in kJ/mol of atoms, the structures come out at one 0.0; two 51.4.